## Cs2ZrTiCl6 (PBE-GGA)

Data for a relaxed Cs2ZrTiCl6 crystal.

a = 7.3714 Å, b = 7.3714 Å, c = 7.3681 Å
α = 59.98°, β = 59.98°, γ = 90.00°
With the nearest neighbours (Å) after each atom.
Positions (direct):
Cs: 0.7500 0.2500 0.5000  12 Cl 3.68-3.69
Cs: 0.2500 0.7500 0.5000  12 Cl 3.68-3.69
Cl: 0.2525 0.2525 0.4950  1 Ti 2.58, 1 Zr 2.63
Cl: 0.7475 0.7475 0.5050  1 Ti 2.58, 1 Zr 2.63
Cl: 0.2526 0.2526 0.0000  1 Ti 2.58, 1 Zr 2.63
Cl: 0.7474 0.7474 0.0000  1 Ti 2.58, 1 Zr 2.63
Cl: 0.7474 0.2526 0.0000  1 Ti 2.58, 1 Zr 2.63
Cl: 0.2526 0.7474 0.0000  1 Ti 2.58, 1 Zr 2.63
Zr: 0.0000 0.0000 0.0000  6 Cl 2.63
Ti: 0.5000 0.5000 0.0000  6 Cl 2.58

Values from the calculation:
Its total energy is -45.027 eV per cell. For the density of states at the Fermi level, the calculation gives 7.2 states/eV/cell. For the total magnetization, the calculation gives 4.0 μB/f.u. The uncorrected formation energy is -1580 meV/atom. Its crystal system is tetragonal. The volume is 28.297 Å³ per atom.



## Cs2TlCl2 (PBE-GGA)

Data for a relaxed Cs2TlCl2 crystal.

a = 6.1218 Å, b = 6.1218 Å, c = 8.5188 Å
α = 68.94°, β = 68.94°, γ = 90.00°
With the nearest neighbours (Å) after each atom.
Positions (direct):
Cs: 0.3406 0.3406 0.3188  4 Cl 3.34
Cs: 0.6594 0.6594 0.6812  4 Cl 3.34
Tl: 0.0000 0.0000 0.0000  8 Cl 4.78, 10 Cs 4.92-5.00
Cl: 0.7500 0.2500 0.5000  4 Cs 3.34
Cl: 0.2500 0.7500 0.5000  4 Cs 3.34

Values from the calculation:
Its total energy is -13.447 eV per cell. For the density of states at the Fermi level, the calculation gives 1.6 states/eV/cell. For the total magnetization, the calculation gives 1.0 μB/f.u. The uncorrected formation energy is -1136 meV/atom. Its crystal system is tetragonal. The distance to the lowest polymorph of the same formula comes out at 74 meV/atom. The volume is 54.993 Å³ per atom.



## Cs2Tl3Cl8 (PBE-GGA)

Data for a relaxed Cs2Tl3Cl8 crystal.

a = 6.9728 Å, b = 9.6996 Å, c = 9.3853 Å
α = 121.11°, β = 107.38°, γ = 90.00°
With the nearest neighbours (Å) after each atom.
Positions (direct):
Cs: 0.3603 0.2831 0.5663  6 Cl 3.49-3.61
Cs: 0.6397 0.7169 0.4337  6 Cl 3.49-3.61
Tl: 0.5000 0.0000 0.0000  6 Cl 2.63-2.65
Tl: 0.0000 0.2680 0.0000  6 Cl 2.91-3.21
Tl: 0.0000 0.7320 0.0000  6 Cl 2.91-3.21
Cl: 0.0229 0.6180 0.2360  2 Tl 2.91
Cl: 0.9771 0.3820 0.7640  2 Tl 2.91
Cl: 0.8935 0.0932 0.1863  1 Tl 2.63
Cl: 0.1065 0.9068 0.8137  1 Tl 2.63
Cl: 0.5546 0.7011 0.7867  1 Tl 2.65
Cl: 0.5546 0.0856 0.7867  1 Tl 2.65
Cl: 0.4454 0.9144 0.2133  1 Tl 2.65
Cl: 0.4454 0.2989 0.2133  1 Tl 2.65

Values from the calculation:
Its total energy is -38.463 eV per cell. For the density of states at the Fermi level, the calculation gives 6.9 states/eV/cell. For the total magnetization, the calculation gives 0.0 μB/f.u. The uncorrected formation energy is -1145 meV/atom. Its crystal system is monoclinic. The volume is 39.177 Å³ per atom.